[1]
Fe2NiH | Alexandria via LeMat-Bulk | GGA-PBE | relaxed; distance to the lowest polymorph of the same formula = 32.7 meV/atom; theoretical density = 7.82 g cm⁻³; DFT total energy = -6.4957 eV per atom
1.0
-0.4978 -1.4193 -2.0729
2.2568 -0.2199 1.1907
-7.2574 -13.8167 11.2033
Fe H Ni
6 3 3
Direct
0.0000 0.0000 0.9402 Fe
0.3333 0.6667 0.1621 Fe
0.6667 0.3333 0.8287 Fe
0.0000 0.0000 0.4954 Fe
0.3333 0.6667 0.6069 Fe
0.6667 0.3333 0.2735 Fe
0.3333 0.6667 0.7721 H
0.6667 0.3333 0.4387 H
0.0000 0.0000 0.1054 H
0.0000 0.0000 0.7131 Ni
0.3333 0.6667 0.3798 Ni
0.6667 0.3333 0.0465 Ni

[2]
Fe2NiH | Alexandria via LeMat-Bulk | GGA-PBE | relaxed; distance to the lowest polymorph of the same formula = 34.7 meV/atom; theoretical density = 7.81 g cm⁻³; DFT total energy = -6.4937 eV per atom
1.0
2.5606 0.0000 0.0000
-1.2803 2.2175 0.0000
0.0000 0.0000 6.4162
Ni Fe H
1 2 1
Direct
0.0000 0.0000 0.9053 Ni
0.6667 0.3333 0.2234 Fe
0.3333 0.6667 0.5570 Fe
0.6667 0.3333 0.7346 H

[3]
FeNi8H6 | Alexandria via LeMat-Bulk | GGA-PBE | relaxed; theoretical density = 7.96 g cm⁻³; DFT total energy = -5.0157 eV per atom
1.0
-2.5008 0.4587 3.7015
1.6910 -1.1232 4.0056
1.9098 5.6965 3.3083
Ni H Fe
8 6 1
Direct
0.5567 0.8873 0.3396 Ni
0.6662 0.6662 0.0015 Ni
0.7836 0.4433 0.6604 Ni
0.1127 0.7836 0.6604 Ni
0.2164 0.5567 0.3396 Ni
0.3338 0.3338 0.9985 Ni
0.4433 0.1127 0.6604 Ni
0.8873 0.2164 0.3396 Ni
0.0635 0.4057 0.8110 H
0.4057 0.7198 0.8110 H
0.9365 0.5943 0.1890 H
0.2802 0.9365 0.1890 H
0.5943 0.2802 0.1890 H
0.7198 0.0635 0.8110 H
0.0000 0.0000 0.0000 Fe

[4]
Fe3Ni2H2 | Alexandria via LeMat-Bulk | GGA-PBE | relaxed; theoretical density = 7.59 g cm⁻³; DFT total energy = -6.1426 eV per atom
1.0
2.4361 0.0000 -0.5263
-0.1273 2.4310 -0.5892
0.9080 1.2059 10.1032
Fe H Ni
3 2 2
Direct
0.2979 0.7979 0.5958 Fe
0.0000 0.0000 0.0000 Fe
0.7021 0.2021 0.4042 Fe
0.4459 0.4459 0.8919 H
0.5541 0.5541 0.1081 H
0.1122 0.6122 0.2244 Ni
0.8878 0.3878 0.7756 Ni

[5]
Fe2NiH2 | Alexandria via LeMat-Bulk | GGA-PBE | relaxed; distance to the lowest polymorph of the same formula = 0.0 meV/atom; theoretical density = 7.11 g cm⁻³; DFT total energy = -5.7968 eV per atom
1.0
2.5498 0.0000 0.0000
0.0000 7.5512 0.0000
0.0000 0.0000 8.3635
H Fe Ni
8 8 4
Direct
0.7500 0.4189 0.7381 H
0.7500 0.9189 0.7619 H
0.7500 0.2637 0.4299 H
0.2500 0.2363 0.9299 H
0.2500 0.0811 0.2381 H
0.7500 0.7637 0.0701 H
0.2500 0.5811 0.2619 H
0.2500 0.7363 0.5701 H
0.7500 0.0485 0.3712 Fe
0.2500 0.9515 0.6288 Fe
0.2500 0.4515 0.8712 Fe
0.2500 0.4072 0.3906 Fe
0.7500 0.5928 0.6094 Fe
0.7500 0.0928 0.8906 Fe
0.7500 0.5485 0.1288 Fe
0.2500 0.9072 0.1094 Fe
0.7500 0.2433 0.6256 Ni
0.7500 0.7433 0.8744 Ni
0.2500 0.7567 0.3744 Ni
0.2500 0.2567 0.1256 Ni

[6]
Fe2NiH | Alexandria via LeMat-Bulk | GGA-PBE | relaxed; distance to the lowest polymorph of the same formula = 21.2 meV/atom; theoretical density = 7.90 g cm⁻³; DFT total energy = -6.5073 eV per atom
1.0
-1.3155 2.1937 -0.1924
-0.2313 -1.4542 2.1005
14.4084 9.3472 8.0576
H Fe Ni
3 6 3
Direct
0.6667 0.3333 0.9387 H
0.0000 0.0000 0.6054 H
0.3333 0.6667 0.2720 H
0.0000 0.0000 0.9976 Fe
0.3333 0.6667 0.6643 Fe
0.0000 0.0000 0.2106 Fe
0.6667 0.3333 0.3309 Fe
0.6667 0.3333 0.5439 Fe
0.3333 0.6667 0.8772 Fe
0.6667 0.3333 0.7707 Ni
0.0000 0.0000 0.4374 Ni
0.3333 0.6667 0.1040 Ni

[7]
FeNi3H6 | Alexandria via LeMat-Bulk | GGA-PBE | relaxed; theoretical density = 6.53 g cm⁻³; DFT total energy = -4.5704 eV per atom
1.0
2.6506 0.0000 0.0000
0.0000 6.7745 -1.7320
0.0000 -0.1345 6.7783
Ni H Fe
6 12 2
Direct
0.2500 0.5171 0.1734 Ni
0.7500 0.1537 0.1016 Ni
0.7500 0.4829 0.8266 Ni
0.2500 0.8463 0.8984 Ni
0.2500 0.3100 0.4803 Ni
0.7500 0.6900 0.5197 Ni
0.7500 0.4586 0.5750 H
0.7500 0.7080 0.2698 H
0.2500 0.2920 0.7302 H
0.2500 0.0877 0.9005 H
0.2500 0.5414 0.4250 H
0.7500 0.9123 0.0995 H
0.2500 0.8845 0.5785 H
0.7500 0.7198 0.7787 H
0.7500 0.1155 0.4215 H
0.7500 0.3826 0.0325 H
0.2500 0.2802 0.2213 H
0.2500 0.6174 0.9675 H
0.2500 0.9197 0.3226 Fe
0.7500 0.0803 0.6774 Fe

[8]
Fe2Ni3H2 | Alexandria via LeMat-Bulk | GGA-PBE | relaxed; distance to the lowest polymorph of the same formula = 0.0 meV/atom; theoretical density = 7.77 g cm⁻³; DFT total energy = -5.8169 eV per atom
1.0
-1.3460 -1.8691 0.9975
2.4374 -1.7531 3.1620
-1.5924 2.4587 5.6161
Ni Fe H
3 2 2
Direct
0.5000 0.0000 0.0000 Ni
0.6125 0.1928 0.5823 Ni
0.3875 0.8072 0.4177 Ni
0.1760 0.4396 0.2085 Fe
0.8240 0.5604 0.7915 Fe
0.0557 0.0988 0.7897 H
0.9443 0.9012 0.2103 H